{"formula": "AlAs2H", "functional": "PBE", "state": "relaxed", "total_magnetization_mub_per_fu": 0.000, "total_energy_ev_per_cell": -60.1, "e_above_lowest_polymorph_kj_per_mol_fu": 0, "cell": [[5.485, 0.000, 0.000], [0.000, 5.485, 0.000], [0.000, 0.000, 9.229]], "species": ["Al", "Al", "Al", "Al", "As", "As", "As", "As", "As", "As", "As", "As", "H", "H", "H", "H"], "frac_coords": [[0.000, 0.000, 0.000], [0.000, 0.500, 0.250], [0.500, 0.000, 0.750], [0.500, 0.500, 0.500], [0.175, 0.250, 0.625], [0.250, 0.675, 0.875], [0.250, 0.825, 0.375], [0.325, 0.250, 0.125], [0.675, 0.750, 0.125], [0.750, 0.175, 0.375], [0.750, 0.325, 0.875], [0.825, 0.750, 0.625], [0.000, 0.000, 0.500], [0.000, 0.500, 0.750], [0.500, 0.000, 0.250], [0.500, 0.500, 0.000]]}

{"formula": "LiCoH4", "functional": "PBE", "state": "relaxed", "total_magnetization_mub_per_fu": 0.000, "total_energy_ev_per_cell": -45.4, "e_above_lowest_polymorph_kj_per_mol_fu": 19, "cell": [[4.751, 0.000, 0.000], [0.000, 3.760, 0.000], [-0.922, 0.000, 4.156]], "species": ["Li", "Li", "Co", "Co", "H", "H", "H", "H", "H", "H", "H", "H"], "frac_coords": [[0.000, 0.000, 0.000], [0.000, 0.500, 0.500], [0.500, 0.000, 0.500], [0.500, 0.500, 0.000], [0.177, 0.073, 0.424], [0.177, 0.427, 0.924], [0.362, 0.683, 0.269], [0.362, 0.817, 0.769], [0.638, 0.183, 0.231], [0.638, 0.317, 0.731], [0.823, 0.573, 0.076], [0.823, 0.927, 0.576]]}

{"formula": "AlTlSi2Cl", "functional": "PBE", "state": "relaxed", "e_form_raw_mev_per_atom": 483, "total_magnetization_mub_per_fu": 0.000, "total_energy_ev_per_cell": -16.4, "cell": [[4.702, 0.000, 0.000], [0.000, 4.702, 0.000], [0.000, 0.000, 6.461]], "species": ["Al", "Tl", "Si", "Si", "Cl"], "frac_coords": [[0.000, 0.000, 0.000], [0.000, 0.000, 0.500], [0.000, 0.500, 0.000], [0.500, 0.000, 0.000], [0.500, 0.500, 0.500]]}

{"formula": "Zr2TlAu", "functional": "PBE", "state": "relaxed", "e_form_kj_per_mol_atoms": -11, "total_magnetization_mub_per_fu": 0.000, "total_energy_ev_per_cell": -46.4, "cell": [[10.059, 0.000, 0.000], [0.000, 3.238, 0.000], [-1.178, 0.000, 5.476]], "species": ["Zr", "Zr", "Zr", "Zr", "Tl", "Tl", "Au", "Au"], "frac_coords": [[0.243, 0.000, 0.237], [0.257, 0.500, 0.763], [0.743, 0.500, 0.237], [0.757, 0.000, 0.763], [0.000, 0.000, 0.500], [0.500, 0.500, 0.500], [0.000, 0.500, 0.000], [0.500, 0.000, 0.000]]}

{"formula": "NdSm4ErTm2", "functional": "PBE", "state": "relaxed", "e_form_kj_per_mol_atoms": 2, "total_magnetization_mub_per_fu": 0.000, "total_energy_ev_per_cell": -37.0, "cell": [[5.067, 0.000, 0.000], [0.000, 5.086, 0.000], [0.000, 0.000, 10.096]], "species": ["Nd", "Sm", "Sm", "Sm", "Sm", "Er", "Tm", "Tm"], "frac_coords": [[0.000, 0.000, 0.000], [0.000, 0.500, 0.253], [0.000, 0.500, 0.747], [0.500, 0.000, 0.253], [0.500, 0.000, 0.747], [0.500, 0.500, 0.500], [0.000, 0.000, 0.500], [0.500, 0.500, 0.000]]}

{"formula": "NpZnGe2", "functional": "PBE", "state": "relaxed", "e_form_kj_per_mol_atoms": 2, "total_magnetization_mub_per_fu": 4.455, "total_energy_ev_per_cell": -23.4, "cell": [[3.458, 0.000, 0.000], [0.000, 3.458, 0.000], [0.000, 0.000, 6.420]], "species": ["Np", "Zn", "Ge", "Ge"], "frac_coords": [[0.000, 0.000, 0.000], [0.000, 0.000, 0.500], [0.500, 0.500, 0.295], [0.500, 0.500, 0.705]]}

{"formula": "KBa3Ir", "functional": "PBE", "state": "relaxed", "e_form_kj_per_mol_atoms": -6, "total_magnetization_mub_per_fu": 0.000, "total_energy_ev_per_cell": -16.0, "e_above_lowest_polymorph_kj_per_mol_fu": 2, "cell": [[6.328, 0.000, 0.000], [0.000, 6.328, 0.000], [0.000, 0.000, 6.328]], "species": ["K", "Ba", "Ba", "Ba", "Ir"], "frac_coords": [[0.000, 0.000, 0.000], [0.000, 0.500, 0.500], [0.500, 0.000, 0.500], [0.500, 0.500, 0.000], [0.500, 0.500, 0.500]]}

{"formula": "BaMg3Ag", "functional": "PBE", "state": "relaxed", "e_form_kj_per_mol_atoms": -12, "total_magnetization_mub_per_fu": 0.000, "total_energy_ev_per_cell": -20.3, "e_above_lowest_polymorph_kj_per_mol_fu": 0, "cell": [[6.155, 0.000, 0.000], [0.000, 6.472, 0.000], [-2.924, 0.000, 7.099]], "species": ["Ba", "Ba", "Mg", "Mg", "Mg", "Mg", "Mg", "Mg", "Ag", "Ag"], "frac_coords": [[0.205, 0.250, 0.154], [0.795, 0.750, 0.846], [0.228, 0.012, 0.689], [0.228, 0.488, 0.689], [0.308, 0.750, 0.378], [0.692, 0.250, 0.622], [0.772, 0.512, 0.311], [0.772, 0.988, 0.311], [0.392, 0.750, 0.036], [0.608, 0.250, 0.964]]}